DFT (PBE) results for a geometry-optimized Ce6Os2CBr3 structure.

Its uncorrected formation energy is -749.3 meV/atom.

The structure belongs to space group C2/m (No. 12); the cell edges are 6.8636, 11.8803 and 7.9543 Å and the angles 90.00°, 106.63° and 90.00°. The asymmetric unit holds Ce at (0.2191, 0.1558, 0.1891), Ce at (0.2468, 0.0000, 0.8086), Os at (0.0000, 0.3338, 0.0000), C at (0.0000, 0.0000, 0.0000), Br at (0.0000, 0.1712, 0.5000) and Br at (0.0000, 0.5000, 0.5000).